[1]
Computed, not measured: crystalline GdYZrIn at its relaxed geometry at the PBE level of DFT.

The structure belongs to space group F-43m (No. 216); the cell edges are 7.5874, 7.5874 and 7.5874 Å and the angles 90.00°, 90.00° and 90.00°. The distinct sites, in fractional coordinates, are Gd at (0.0000, 0.0000, 0.0000), Y at (0.0000, 0.0000, 0.5000), Zr at (0.2500, 0.2500, 0.7500) and In at (0.2500, 0.2500, 0.2500).

Its formation energy is -2.13 kcal/mol of atoms. The calculated total energy comes out at -32.2 eV/f.u.

=====

[2]
Computed, not measured: crystalline GdZnIn2 at its relaxed geometry at the PBE level of DFT.

The structure belongs to space group P4/mmm (No. 123); the cell edges are 3.5698, 3.5698 and 7.4353 Å and the angles 90.00°, 90.00° and 90.00°. The distinct sites, in fractional coordinates, are Gd at (0.0000, 0.0000, 0.0000), Zn at (0.0000, 0.0000, 0.5000) and In at (0.5000, 0.5000, 0.2896).

Its formation energy is -5.38 kcal/mol of atoms. The calculated total energy comes out at -21.8 eV/f.u.

=====

[3]
Computed, not measured: crystalline GdZnIn2 at its relaxed geometry at the PBE level of DFT.

The structure belongs to space group R-3m (No. 166, hexagonal axes); the cell edges are 4.5684, 4.5684 and 16.2807 Å and the angles 90.00°, 90.00° and 120.00°. The distinct sites, in fractional coordinates, are Gd at (0.0000, 0.0000, 0.0000), Zn at (0.0000, 0.0000, 0.5000) and In at (0.0000, 0.0000, 0.2247).

Its formation energy is -5.61 kcal/mol of atoms. The calculated total energy comes out at -21.8 eV/f.u.

=====

[4]
Computed, not measured: crystalline GdZn4In at its relaxed geometry at the PBE level of DFT.

The structure belongs to space group F-43m (No. 216); the cell edges are 7.7501, 7.7501 and 7.7501 Å and the angles 90.00°, 90.00° and 90.00°. The distinct sites, in fractional coordinates, are Gd at (0.0000, 0.0000, 0.0000), Zn at (0.1256, 0.1256, 0.3744) and In at (0.2500, 0.2500, 0.7500).

Its formation energy is -3.59 kcal/mol of atoms. The calculated total energy comes out at -22.8 eV/f.u.

=====

[5]
Computed, not measured: crystalline GdZn2In at its relaxed geometry at the PBE level of DFT.

The structure belongs to space group P4/mmm (No. 123); the cell edges are 3.5260, 3.5260 and 7.0175 Å and the angles 90.00°, 90.00° and 90.00°. The distinct sites, in fractional coordinates, are Gd at (0.0000, 0.0000, 0.0000), Zn at (0.5000, 0.5000, 0.2703) and In at (0.0000, 0.0000, 0.5000).

Its formation energy is -4.30 kcal/mol of atoms. The calculated total energy comes out at -20.1 eV/f.u.

=====

[6]
Computed, not measured: crystalline GdZnIn at its relaxed geometry at the PBE level of DFT.

The structure belongs to space group I4mm (No. 107); the cell edges are 3.4821, 3.4821 and 11.6406 Å and the angles 90.00°, 90.00° and 90.00°. The distinct sites, in fractional coordinates, are Gd at (0.0000, 0.0000, 0.0000), Zn at (0.0000, 0.0000, 0.6635) and In at (0.0000, 0.0000, 0.3029).

Its formation energy is -6.62 kcal/mol of atoms. The calculated total energy comes out at -19.0 eV/f.u.

=====

[7]
Computed, not measured: crystalline GdZnIn at its relaxed geometry at the PBE level of DFT.

The structure belongs to space group P-6m2 (No. 187); the cell edges are 4.7274, 4.7274 and 3.5991 Å and the angles 90.00°, 90.00° and 120.00°. The distinct sites, in fractional coordinates, are Gd at (0.0000, 0.0000, 0.0000), Zn at (0.6667, 0.3333, 0.5000) and In at (0.3333, 0.6667, 0.5000).

Its formation energy is -10.10 kcal/mol of atoms. The calculated total energy comes out at -19.4 eV/f.u.

=====

[8]
Computed, not measured: crystalline GdZnIn2 at its relaxed geometry at the PBE level of DFT.

The structure belongs to space group P4/mmm (No. 123); the cell edges are 4.5244, 4.5244 and 4.5520 Å and the angles 90.00°, 90.00° and 90.00°. The distinct sites, in fractional coordinates, are Gd at (0.0000, 0.0000, 0.0000), Zn at (0.5000, 0.5000, 0.0000) and In at (0.0000, 0.5000, 0.5000).

Its formation energy is -8.25 kcal/mol of atoms. The calculated total energy comes out at -22.3 eV/f.u.

=====

[9]
Computed, not measured: crystalline GdZnIn at its relaxed geometry at the PBE level of DFT.

The structure belongs to space group F-43m (No. 216); the cell edges are 6.6651, 6.6651 and 6.6651 Å and the angles 90.00°, 90.00° and 90.00°. The distinct sites, in fractional coordinates, are Gd at (0.0000, 0.0000, 0.0000), Zn at (0.2500, 0.2500, 0.2500) and In at (0.0000, 0.0000, 0.5000).

Its formation energy is -9.18 kcal/mol of atoms. The calculated total energy comes out at -19.3 eV/f.u.

=====

[10]
Computed, not measured: crystalline GdZn2In at its relaxed geometry at the PBE level of DFT.

The structure belongs to space group P4/mmm (No. 123); the cell edges are 4.5650, 4.5650 and 4.1305 Å and the angles 90.00°, 90.00° and 90.00°. The distinct sites, in fractional coordinates, are Gd at (0.0000, 0.0000, 0.0000), Zn at (0.0000, 0.5000, 0.5000) and In at (0.5000, 0.5000, 0.0000).

Its formation energy is -6.54 kcal/mol of atoms. The calculated total energy comes out at -20.5 eV/f.u.

=====

[11]
Computed, not measured: crystalline GdZnIn at its relaxed geometry at the PBE level of DFT.

The structure belongs to space group P6_3/mmc (No. 194); the cell edges are 4.7141, 4.7141 and 7.2508 Å and the angles 90.00°, 90.00° and 120.00°. The distinct sites, in fractional coordinates, are Gd at (0.0000, 0.0000, 0.0000), Zn at (0.3333, 0.6667, 0.2500) and In at (0.3333, 0.6667, 0.7500).

Its formation energy is -10.28 kcal/mol of atoms. The calculated total energy comes out at -19.4 eV/f.u.

=====

[12]
Computed, not measured: crystalline GdZrZnIn at its relaxed geometry at the PBE level of DFT.

The structure belongs to space group F-43m (No. 216); the cell edges are 7.1514, 7.1514 and 7.1514 Å and the angles 90.00°, 90.00° and 90.00°. The distinct sites, in fractional coordinates, are Gd at (0.0000, 0.0000, 0.0000), Zr at (0.0000, 0.0000, 0.5000), Zn at (0.2500, 0.2500, 0.7500) and In at (0.2500, 0.2500, 0.2500).

Its formation energy is -5.78 kcal/mol of atoms. The calculated total energy comes out at -27.6 eV/f.u.

=====

[13]
Computed, not measured: crystalline GdZr2In at its relaxed geometry at the PBE level of DFT.

The structure belongs to space group P4/mmm (No. 123); the cell edges are 3.2763, 3.2763 and 9.1895 Å and the angles 90.00°, 90.00° and 90.00°. The distinct sites, in fractional coordinates, are Gd at (0.0000, 0.0000, 0.0000), Zr at (0.5000, 0.5000, 0.2695) and In at (0.0000, 0.0000, 0.5000).

Its formation energy is -1.32 kcal/mol of atoms. For the offset from the most stable computed form, the calculation gives 116 meV/atom. The calculated total energy comes out at -34.1 eV/f.u.

=====

[14]
Computed, not measured: crystalline Gd2ZrIn at its relaxed geometry at the PBE level of DFT.

The structure belongs to space group R-3m (No. 166, hexagonal axes); the cell edges are 3.4034, 3.4034 and 35.3077 Å and the angles 90.00°, 90.00° and 120.00°. The distinct sites, in fractional coordinates, are Gd at (0.0000, 0.0000, 0.0917), Zr at (0.0000, 0.0000, 0.5000) and In at (0.0000, 0.0000, 0.0000).

Its formation energy is 2.94 kcal/mol of atoms. For the offset from the most stable computed form, the calculation gives 317 meV/atom. The calculated total energy comes out at -38.9 eV/f.u.

=====

[15]
Computed, not measured: crystalline Gd2ZrIn at its relaxed geometry at the PBE level of DFT.

The structure belongs to space group P4/mmm (No. 123); the cell edges are 3.3920, 3.3920 and 9.4834 Å and the angles 90.00°, 90.00° and 90.00°. The distinct sites, in fractional coordinates, are Gd at (0.0000, 0.0000, 0.2481), Zr at (0.5000, 0.5000, 0.5000) and In at (0.5000, 0.5000, 0.0000).

Its formation energy is -4.03 kcal/mol of atoms. For the offset from the most stable computed form, the calculation gives 15 meV/atom. The calculated total energy comes out at -40.1 eV/f.u.